K3UO2F5: single point on PBEsol structure, meta-GGA SCAN.

Results
Space group ... I4_1/a (88)
Total DFT energy (no corrections) ... -17.693 eV per atom

Geometry as POSCAR:
```
K3UO2F5
1.0
-4.554 4.554 9.017
4.554 -4.554 9.017
4.554 4.554 -9.017
K U O F
12 4 8 20
Cartesian
6.532 0.157 0.228
4.554 2.277 -2.254
2.120 -0.299 4.281
6.674 -0.299 4.736
0.000 2.277 2.254
2.577 4.397 0.228
1.978 0.157 8.789
4.554 2.277 6.762
-2.120 4.854 4.281
2.434 4.854 4.736
0.000 2.277 11.271
-1.978 4.397 8.789
4.554 -2.277 7.119
4.554 2.277 2.611
0.000 2.277 6.405
0.000 6.832 1.897
4.994 4.071 -7.130
4.994 -0.483 7.130
6.348 1.838 2.622
2.760 2.717 2.622
1.794 1.838 6.395
-1.794 2.717 6.395
-0.440 5.038 1.886
-0.440 0.483 16.147
4.554 -2.277 4.859
2.087 1.769 -2.610
4.046 0.190 1.898
2.467 -1.769 6.407
1.307 2.090 -0.095
3.247 -2.090 8.922
4.554 2.277 0.350
4.367 0.970 4.413
-0.188 0.970 4.603
4.046 4.744 -1.898
0.509 -0.190 10.915
4.742 3.584 4.413
0.188 3.584 4.603
0.000 2.277 8.666
1.307 6.644 0.095
3.247 2.465 9.111
2.087 6.323 2.610
0.509 4.365 7.118
2.467 2.786 11.627
0.000 6.832 4.158
```

***

K2VO2F3: single point on PBEsol structure, meta-GGA SCAN.

Results
Space group ... Pnma (62)
Total DFT energy (no corrections) ... -10.050 eV per atom

Geometry as POSCAR:
```
K2VO2F3
1.0
7.292 0.000 0.000
0.000 5.635 0.000
0.000 0.000 11.309
K V O F
8 4 8 12
Cartesian
0.203 1.409 2.428
1.353 4.226 4.666
2.293 1.409 10.321
3.443 4.226 8.082
3.849 1.409 3.227
4.999 4.226 0.988
5.939 1.409 6.643
7.089 4.226 8.881
1.472 4.226 0.802
2.174 1.409 6.456
5.118 4.226 4.853
5.820 1.409 10.507
1.278 0.120 6.938
1.278 2.698 6.938
2.368 2.938 1.284
2.368 5.515 1.284
4.924 0.120 10.025
4.924 2.698 10.025
6.014 2.938 4.371
6.014 5.515 4.371
0.000 0.000 0.000
0.000 2.818 0.000
0.235 4.226 2.194
1.662 1.409 4.633
1.984 4.226 10.287
3.411 1.409 7.849
3.646 0.000 5.654
3.646 2.818 5.654
3.881 4.226 3.460
5.308 1.409 1.022
5.630 4.226 6.676
7.057 1.409 9.115
```

***

KVOF4: single point on PBEsol structure, meta-GGA SCAN.

Results
Space group ... P2_1/c (14)
Total DFT energy (no corrections) ... -9.604 eV per atom

Geometry as POSCAR:
```
KVOF4
1.0
5.507 0.000 0.000
0.000 13.632 0.000
-0.493 0.000 5.429
K V O F
4 4 4 16
Cartesian
1.215 1.651 0.199
0.969 5.164 2.914
4.046 8.467 2.515
3.799 11.980 5.229
1.141 8.817 5.183
1.387 11.630 2.469
3.627 2.002 2.960
3.873 4.814 0.246
1.075 8.003 0.994
0.828 12.444 3.708
4.186 1.188 1.720
3.940 5.628 4.435
-0.288 9.788 4.663
-0.041 10.660 1.948
0.805 7.685 3.806
1.051 12.762 1.092
1.903 1.482 3.019
2.149 5.334 0.305
2.026 10.116 3.338
2.273 10.332 0.624
2.742 3.300 4.805
2.988 3.516 2.091
2.865 8.297 5.124
3.111 12.150 2.410
3.963 0.870 4.337
4.209 5.946 1.622
5.056 2.972 3.480
5.302 3.844 0.766
```

***

KOs3F: single point on PBEsol structure, meta-GGA SCAN.

Results
Space group ... Pm-3m (221)
Total DFT energy (no corrections) ... -43.226 eV per atom

Geometry as POSCAR:
```
KOs3F
1.0
4.359 0.000 0.000
0.000 4.359 0.000
0.000 0.000 4.359
K Os F
1 3 1
Cartesian
0.000 0.000 0.000
0.000 2.179 2.179
2.179 0.000 2.179
2.179 2.179 0.000
2.179 2.179 2.179
```

***

K2SiPbF: single point on PBEsol structure, meta-GGA SCAN.

Results
Space group ... P4/mmm (123)
Total DFT energy (no corrections) ... -21.608 eV per atom

Geometry as POSCAR:
```
K2SiPbF
1.0
6.424 0.000 0.000
0.000 6.424 0.000
0.000 0.000 5.086
K Si Pb F
2 1 1 1
Cartesian
0.000 3.212 0.000
3.212 0.000 0.000
0.000 0.000 0.000
0.000 0.000 2.543
3.212 3.212 2.543
```

***

KZrPbF2: single point on PBEsol structure, meta-GGA SCAN.

Results
Space group ... P4/mmm (123)
Total DFT energy (no corrections) ... -24.968 eV per atom

Geometry as POSCAR:
```
KZrPbF2
1.0
4.882 0.000 0.000
0.000 4.882 0.000
0.000 0.000 5.952
K Zr Pb F
1 1 1 2
Cartesian
0.000 0.000 0.000
2.441 2.441 0.000
2.441 2.441 2.976
0.000 2.441 2.976
2.441 0.000 2.976
```

***

K2PdF4: single point on PBEsol structure, meta-GGA SCAN.

Results
Space group ... C2/m (12)
Total DFT energy (no corrections) ... -11.450 eV per atom

Geometry as POSCAR:
```
K2PdF4
1.0
4.779 -2.938 0.000
4.779 2.938 0.000
-0.172 0.000 4.279
K Pd F
2 1 4
Cartesian
1.423 0.000 0.957
7.963 0.000 3.322
4.693 0.000 2.139
3.694 1.406 1.198
5.692 1.406 3.080
3.694 -1.406 1.198
5.692 -1.406 3.080
```

***

KPd3F: single point on PBEsol structure, meta-GGA SCAN.

Results
Space group ... Pm-3m (221)
Total DFT energy (no corrections) ... -20.660 eV per atom

Geometry as POSCAR:
```
KPd3F
1.0
4.919 0.000 0.000
0.000 4.919 0.000
0.000 0.000 4.919
K Pd F
1 3 1
Cartesian
0.000 0.000 0.000
0.000 0.000 2.460
0.000 2.460 0.000
2.460 0.000 0.000
2.460 2.460 2.460
```

***

K2Pd2F: single point on PBEsol structure, meta-GGA SCAN.

Results
Space group ... I4/mmm (139)
Total DFT energy (no corrections) ... -17.548 eV per atom

Geometry as POSCAR:
```
K2Pd2F
1.0
-3.082 3.082 3.396
3.082 -3.082 3.396
3.082 3.082 -3.396
K Pd F
2 2 1
Cartesian
3.082 0.000 1.698
0.000 3.082 1.698
0.000 0.000 1.218
0.000 0.000 5.573
0.000 0.000 3.396
```

***

K2RbPdF5: single point on PBEsol structure, meta-GGA SCAN.

Results
Space group ... P4/mbm (127)
Total DFT energy (no corrections) ... -12.242 eV per atom

Geometry as POSCAR:
```
K2RbPdF5
1.0
7.148 0.000 0.000
0.000 7.148 0.000
0.000 0.000 6.195
K Rb Pd F
4 2 2 10
Cartesian
1.244 2.330 0.000
2.330 5.904 0.000
4.818 1.244 0.000
5.904 4.818 0.000
0.000 0.000 3.097
3.574 3.574 3.097
0.000 3.574 3.097
3.574 0.000 3.097
0.000 0.000 0.000
0.975 4.548 1.718
0.975 4.548 4.477
2.599 0.975 1.718
2.599 0.975 4.477
3.574 3.574 0.000
4.548 6.173 1.718
4.548 6.173 4.477
6.173 2.599 1.718
6.173 2.599 4.477
```

***

KRb2PdF6: single point on PBEsol structure, meta-GGA SCAN.

Results
Space group ... Fm-3m (225)
Total DFT energy (no corrections) ... -12.797 eV per atom

Geometry as POSCAR:
```
KRb2PdF6
1.0
0.000 4.475 4.475
4.475 0.000 4.475
4.475 4.475 0.000
K Rb Pd F
1 2 1 6
Cartesian
0.000 0.000 0.000
2.238 2.238 2.238
6.713 6.713 6.713
4.475 4.475 4.475
4.475 4.475 2.456
4.475 2.456 4.475
6.494 4.475 4.475
2.456 4.475 4.475
4.475 6.494 4.475
4.475 4.475 6.494
```

***

KZrPdF7: single point on PBEsol structure, meta-GGA SCAN.

Results
Space group ... Pnna (52)
Total DFT energy (no corrections) ... -12.719 eV per atom

Geometry as POSCAR:
```
KZrPdF7
1.0
11.396 0.000 0.000
0.000 7.935 0.000
0.000 0.000 6.341
K Zr Pd F
4 4 4 28
Cartesian
2.849 0.000 1.443
2.849 3.967 1.728
8.547 0.000 4.899
8.547 3.967 4.613
1.045 1.984 4.756
4.653 5.951 4.756
6.743 1.984 1.585
10.351 5.951 1.585
1.136 5.951 4.756
4.562 1.984 4.756
6.833 5.951 1.585
10.260 1.984 1.585
0.522 1.394 2.826
0.522 2.573 0.344
0.950 5.951 1.585
1.209 0.081 5.451
1.209 3.886 4.061
2.792 1.613 3.585
2.792 2.354 5.927
2.906 5.580 5.927
2.906 6.322 3.585
4.489 4.048 4.061
4.489 7.853 5.451
4.748 1.984 1.585
5.176 5.362 0.344
5.176 6.540 2.826
6.220 1.394 3.515
6.220 2.573 5.997
6.648 5.951 4.756
6.906 0.081 0.891
6.906 3.886 2.280
8.490 1.613 2.756
8.490 2.354 0.415
8.604 5.580 0.415
8.604 6.322 2.756
10.187 4.048 2.280
10.187 7.853 0.891
10.446 1.984 4.756
10.874 5.362 5.997
10.874 6.540 3.515
```

***

KPrF4: single point on PBEsol structure, meta-GGA SCAN.

Results
Space group ... Pnma (62)
Total DFT energy (no corrections) ... -14.933 eV per atom

Geometry as POSCAR:
```
KPrF4
1.0
6.211 0.000 0.000
0.000 3.749 0.000
0.000 0.000 15.547
K Pr F
4 4 16
Cartesian
1.363 0.937 3.159
1.742 2.812 10.933
4.468 0.937 4.614
4.848 2.812 12.387
1.541 2.812 6.827
1.564 0.937 14.600
4.646 2.812 0.947
4.670 0.937 8.720
0.034 0.937 0.919
0.567 0.937 12.521
0.625 0.937 5.676
0.851 0.937 8.335
2.254 2.812 0.562
2.481 2.812 13.449
2.538 2.812 4.747
3.071 2.812 8.693
3.140 0.937 6.854
3.672 0.937 10.799
3.730 0.937 2.098
3.956 0.937 14.985
5.360 2.812 7.212
5.586 2.812 9.871
5.644 2.812 3.026
6.176 2.812 14.627
```

***

K2PtF6: single point on PBEsol structure, meta-GGA SCAN.

Results
Space group ... P-3m1 (164)
Total DFT energy (no corrections) ... -14.357 eV per atom

Geometry as POSCAR:
```
K2PtF6
1.0
5.766 0.000 0.000
-2.883 4.993 0.000
0.000 0.000 4.588
K Pt F
2 1 6
Cartesian
0.000 3.329 1.292
2.883 1.664 3.295
0.000 0.000 0.000
0.000 1.649 3.545
-1.455 4.169 3.545
1.428 0.824 1.042
1.455 4.169 3.545
4.338 0.824 1.042
2.883 3.345 1.042
```

***

KRb2PtF6: single point on PBEsol structure, meta-GGA SCAN.

Results
Space group ... I4/m (87)
Total DFT energy (no corrections) ... -16.500 eV per atom

Geometry as POSCAR:
```
KRb2PtF6
1.0
-3.063 3.063 4.803
3.063 -3.063 4.803
3.063 3.063 -4.803
K Rb Pt F
1 2 1 6
Cartesian
0.000 0.000 0.000
3.063 0.000 2.401
0.000 3.063 2.401
0.000 0.000 4.803
2.175 1.291 0.000
0.000 0.000 2.524
1.771 -0.888 4.803
1.291 3.950 0.000
0.000 0.000 7.082
0.888 1.771 4.803
```

***

KRePtF2: single point on PBEsol structure, meta-GGA SCAN.

Results
Space group ... P4/mmm (123)
Total DFT energy (no corrections) ... -32.069 eV per atom

Geometry as POSCAR:
```
KRePtF2
1.0
4.231 0.000 0.000
0.000 4.231 0.000
0.000 0.000 4.855
K Re Pt F
1 1 1 2
Cartesian
0.000 0.000 0.000
2.115 2.115 2.428
2.115 2.115 0.000
0.000 2.115 2.428
2.115 0.000 2.428
```

***

K2SbPtF: single point on PBEsol structure, meta-GGA SCAN.

Results
Space group ... P4/mmm (123)
Total DFT energy (no corrections) ... -26.357 eV per atom

Geometry as POSCAR:
```
K2SbPtF
1.0
6.182 0.000 0.000
0.000 6.182 0.000
0.000 0.000 4.826
K Sb Pt F
2 1 1 1
Cartesian
0.000 3.091 0.000
3.091 0.000 0.000
0.000 0.000 2.413
0.000 0.000 0.000
3.091 3.091 2.413
```

***

KRb2F2: single point on PBEsol structure, meta-GGA SCAN.

Results
Space group ... I4/mmm (139)
Total DFT energy (no corrections) ... -13.581 eV per atom

Geometry as POSCAR:
```
KRb2F2
1.0
-2.628 2.628 6.721
2.628 -2.628 6.721
2.628 2.628 -6.721
K Rb F
1 2 2
Cartesian
0.000 0.000 0.000
2.628 0.000 3.360
0.000 2.628 3.360
0.000 0.000 2.555
0.000 0.000 10.887
```

***

K3RbF: single point on PBEsol structure, meta-GGA SCAN.

Results
Space group ... Pm-3m (221)
Total DFT energy (no corrections) ... -10.771 eV per atom

Geometry as POSCAR:
```
K3RbF
1.0
6.119 0.000 0.000
0.000 6.119 0.000
0.000 0.000 6.119
K Rb F
3 1 1
Cartesian
0.000 0.000 3.059
0.000 3.059 0.000
3.059 0.000 0.000
3.059 3.059 3.059
0.000 0.000 0.000
```